SCAN GaPb3, single point on PBEsol structure; VASP energy = -60.801 eV per atom; formation energy = 0.12 eV/atom; space group = P6_3/mmc
1.0
-5.3166 -0.7800 -1.7455
1.8475 -5.5796 -3.1338
-2.0419 -0.2583 6.3348
Ga Pb
2 6
Direct
0.7500 0.3333 0.6667
0.2500 0.6667 0.3333
0.2500 0.6623 0.8312
0.2500 0.1688 0.3377
0.2500 0.1688 0.8312
0.7500 0.3377 0.1688
0.7500 0.8312 0.6623
0.7500 0.8312 0.1688


SCAN BeAl2Ga, single point on PBEsol structure; VASP energy = -8.691 eV per atom; formation energy = 0.36 eV/atom; space group = I-42d
1.0
-4.4108 0.5113 -0.0248
-2.8393 -5.1834 0.6106
-2.1641 0.8780 5.4634
Be Al Ga
2 4 2
Direct
0.2500 0.5000 0.5000
0.5000 0.0000 0.0000
0.2198 0.9052 0.4052
0.5302 0.0948 0.5948
0.3750 0.4052 0.0948
0.8750 0.5948 0.9052
0.7500 0.5000 0.5000
0.0000 0.0000 0.0000


SCAN La3Sn4, single point on PBEsol structure; VASP energy = -39.896 eV per atom; formation energy = -0.90 eV/atom; space group = Cmcm
1.0
4.4890 0.0000 0.0000
-2.2445 5.9073 0.0000
0.0000 0.0000 15.7575
La Sn
6 8
Direct
0.3268 0.6536 0.4025
0.0418 0.0837 0.2500
0.3268 0.6536 0.0975
0.6732 0.3464 0.9025
0.9582 0.9163 0.7500
0.6732 0.3464 0.5975
0.0000 0.0000 0.5000
0.6151 0.2301 0.3929
0.7720 0.5440 0.2500
0.6151 0.2301 0.1071
0.0000 0.0000 0.0000
0.3849 0.7699 0.8929
0.2280 0.4560 0.7500
0.3849 0.7699 0.6071


SCAN GdSi2Au2, single point on PBEsol structure; VASP energy = -44.120 eV per atom; space group = I4/mmm; formation energy without anion corrections = -0.6881 eV/atom
1.0
4.2200 0.0000 0.0000
0.0000 4.2200 0.0000
-2.1100 -2.1100 5.0734
Si Gd Au
2 1 2
Direct
0.3871 0.3871 0.7743
0.6129 0.6129 0.2257
0.0000 0.0000 0.0000
0.2500 0.7500 0.5000
0.7500 0.2500 0.5000


SCAN Mg2CrTe, single point on PBEsol structure; VASP energy = -16.498 eV per atom; space group = P4mm; formation energy without anion corrections = -0.1026 eV/atom
1.0
-0.1093 -0.1873 3.7302
1.0699 -3.5770 -0.1482
5.7508 1.7096 0.2543
Cr Mg Te
1 2 1
Direct
0.5000 0.5000 0.7496
0.0000 0.0000 0.9898
0.5000 0.5000 0.2436
0.0000 0.0000 0.5170


SCAN NiHCBr2, single point on PBEsol structure; VASP energy = -12.379 eV per atom; space group = P4/mmm
1.0
-0.7841 -2.9284 -1.0033
4.4006 -0.6880 -1.4308
1.0959 -1.7340 4.2045
Ni C Br H
1 1 2 1
Direct
0.0000 0.0000 0.0000
0.5000 0.5000 0.5000
0.0000 0.0000 0.5000
0.0000 0.5000 0.0000
0.5000 0.0000 0.0000